{"formula": "In2PdO2", "functional": "GGA-PBE", "state": "relaxed", "crystal_system": "orthorhombic", "lattice": [[-3.055, -2.345, 0.424], [-2.170, 2.813, -0.082], [2.221, -0.692, -5.518]], "species": ["In", "In", "O", "O", "Pd"], "frac_coords": [[0.644, 0.644, 0.287], [0.356, 0.356, 0.713], [0.234, 0.734, 0.468], [0.766, 0.266, 0.532], [0.000, 0.000, 0.000]]}

=====

{"formula": "Sc4FePbC2", "functional": "GGA-PBE", "state": "relaxed", "total_magnetization_mub_per_fu": 1.578, "crystal_system": "hexagonal", "lattice": [[-3.130, 0.801, 0.870], [0.559, -1.811, -2.757], [-0.935, -12.011, 7.699]], "species": ["C", "C", "Fe", "Pb", "Sc", "Sc", "Sc", "Sc"], "frac_coords": [[0.333, 0.667, 0.233], [0.333, 0.667, 0.767], [0.000, 0.000, 0.000], [0.667, 0.333, 0.500], [0.667, 0.333, 0.143], [0.000, 0.000, 0.314], [0.000, 0.000, 0.686], [0.667, 0.333, 0.857]]}

=====

{"formula": "SmLu2Ni4Ge4", "functional": "GGA-PBE", "state": "relaxed", "total_magnetization_mub_per_fu": 0.004, "crystal_system": "orthorhombic", "lattice": [[-1.737, -4.584, 6.027], [-3.733, 3.049, 6.093], [0.168, -1.831, -7.548]], "species": ["Ge", "Ge", "Ge", "Ge", "Lu", "Lu", "Ni", "Ni", "Ni", "Ni", "Sm"], "frac_coords": [[0.220, 0.220, 0.000], [0.780, 0.780, 0.000], [0.689, 0.500, 0.189], [0.311, 0.500, 0.811], [0.629, 0.129, 0.500], [0.371, 0.871, 0.500], [0.625, 0.321, 0.303], [0.982, 0.679, 0.303], [0.375, 0.679, 0.697], [0.018, 0.321, 0.697], [0.000, 0.000, 0.000]]}

=====

{"formula": "CuAs", "functional": "GGA-PBE", "state": "relaxed", "crystal_system": "orthorhombic", "lattice": [[4.956, 0.000, 0.000], [0.000, 3.739, 0.000], [0.000, 0.000, 6.936]], "species": ["As", "As", "As", "As", "Cu", "Cu", "Cu", "Cu"], "frac_coords": [[0.750, 0.500, 0.070], [0.250, 0.000, 0.314], [0.750, 0.000, 0.686], [0.250, 0.500, 0.930], [0.750, 0.000, 0.294], [0.000, 0.500, 0.500], [0.500, 0.500, 0.500], [0.250, 0.000, 0.706]]}

=====

{"formula": "Nd2Hg", "functional": "GGA-PBE", "state": "relaxed", "total_magnetization_mub_per_fu": 0.187, "crystal_system": "cubic", "e_form_ev_per_atom": 1.312, "lattice": [[-8.853, 3.001, 1.002], [-5.205, -3.037, 7.216], [-2.209, 5.872, 7.002]], "species": ["Hg", "Hg", "Nd", "Nd", "Nd", "Nd"], "frac_coords": [[0.250, 0.250, 0.250], [0.500, 0.500, 0.500], [0.375, 0.375, 0.375], [0.875, 0.375, 0.375], [0.375, 0.875, 0.375], [0.375, 0.375, 0.875]]}

=====

{"formula": "CsReTeAuSe2", "functional": "GGA-PBE", "state": "relaxed", "total_magnetization_mub_per_fu": 2.331, "crystal_system": "orthorhombic", "lattice": [[1.934, -8.573, 0.000], [1.934, 8.573, 0.000], [0.000, 0.000, 10.626]], "species": ["Au", "Au", "Cs", "Cs", "Re", "Re", "Se", "Se", "Se", "Se", "Te", "Te"], "frac_coords": [[0.440, 0.560, 0.250], [0.560, 0.440, 0.750], [0.762, 0.238, 0.250], [0.238, 0.762, 0.750], [0.000, 0.000, 0.000], [0.000, 0.000, 0.500], [0.399, 0.601, 0.023], [0.399, 0.601, 0.477], [0.601, 0.399, 0.523], [0.601, 0.399, 0.977], [0.063, 0.937, 0.250], [0.937, 0.063, 0.750]]}

=====

{"formula": "PdF2", "functional": "GGA-PBE", "state": "relaxed", "crystal_system": "cubic", "lattice": [[2.693, 5.045, 3.215], [4.557, 3.701, -2.930], [-1.418, 6.154, -1.777]], "species": ["F", "F", "F", "F", "Pd", "Pd"], "frac_coords": [[0.375, 0.375, 0.375], [0.875, 0.375, 0.375], [0.375, 0.875, 0.375], [0.375, 0.375, 0.875], [0.250, 0.250, 0.250], [0.500, 0.500, 0.500]]}

=====

{"formula": "Pr2HoTl2Zn3Cd", "functional": "GGA-PBE", "state": "relaxed", "total_magnetization_mub_per_fu": 0.014, "crystal_system": "orthorhombic", "lattice": [[4.629, 0.000, 0.000], [0.000, 6.339, 3.737], [0.000, -6.339, 3.737]], "species": ["Cd", "Ho", "Pr", "Pr", "Tl", "Tl", "Zn", "Zn", "Zn"], "frac_coords": [[0.000, 0.012, 0.012], [0.000, 0.421, 0.421], [0.000, 0.996, 0.575], [0.000, 0.575, 0.996], [0.500, 0.659, 0.335], [0.500, 0.335, 0.659], [0.500, 0.999, 0.229], [0.500, 0.774, 0.774], [0.500, 0.229, 0.999]]}

=====

{"formula": "MgFeHgB", "functional": "GGA-PBE", "state": "relaxed", "e_above_lowest_polymorph_mev_per_atom": 88, "total_magnetization_mub_per_fu": 2.265, "crystal_system": "cubic", "lattice": [[1.885, -2.599, -2.865], [1.443, -3.864, 1.224], [-2.013, -3.566, -1.321]], "species": ["B", "Fe", "Hg", "Mg"], "frac_coords": [[0.000, 0.000, 0.000], [0.750, 0.750, 0.750], [0.250, 0.250, 0.250], [0.500, 0.500, 0.500]]}

=====

{"formula": "Sn3Pd8", "functional": "GGA-PBE", "state": "relaxed", "crystal_system": "tetragonal", "lattice": [[4.007, 0.000, 0.000], [0.000, 4.007, 0.000], [0.000, 0.000, 32.031]], "species": ["Pd", "Pd", "Pd", "Pd", "Pd", "Pd", "Pd", "Pd", "Pd", "Pd", "Pd", "Pd", "Pd", "Pd", "Pd", "Pd", "Sn", "Sn", "Sn", "Sn", "Sn", "Sn"], "frac_coords": [[0.500, 0.000, 0.000], [0.000, 0.500, 0.000], [0.500, 0.500, 0.063], [0.500, 0.000, 0.126], [0.000, 0.500, 0.126], [0.500, 0.500, 0.190], [0.500, 0.000, 0.253], [0.000, 0.500, 0.253], [0.500, 0.500, 0.316], [0.500, 0.500, 0.684], [0.500, 0.000, 0.747], [0.000, 0.500, 0.747], [0.500, 0.500, 0.810], [0.500, 0.000, 0.874], [0.000, 0.500, 0.874], [0.500, 0.500, 0.937], [0.000, 0.000, 0.063], [0.000, 0.000, 0.188], [0.000, 0.000, 0.315], [0.000, 0.000, 0.685], [0.000, 0.000, 0.812], [0.000, 0.000, 0.937]]}

=====

{"formula": "ThAlPd", "functional": "GGA-PBE", "state": "relaxed", "total_magnetization_mub_per_fu": 0.003, "crystal_system": "hexagonal", "lattice": [[-3.614, 2.299, 5.805], [-3.015, -4.805, -4.457], [1.663, -3.167, 2.290]], "species": ["Al", "Al", "Al", "Pd", "Pd", "Pd", "Th", "Th", "Th"], "frac_coords": [[0.232, 0.000, 0.000], [0.000, 0.232, 0.000], [0.768, 0.768, 0.000], [0.667, 0.333, 0.000], [0.333, 0.667, 0.000], [0.000, 0.000, 0.500], [0.578, 0.000, 0.500], [0.422, 0.422, 0.500], [0.000, 0.578, 0.500]]}

=====

{"formula": "DyTcNO", "functional": "GGA-PBE", "state": "relaxed", "e_above_lowest_polymorph_mev_per_atom": 0, "total_magnetization_mub_per_fu": 0.000, "crystal_system": "orthorhombic", "lattice": [[5.474, 0.000, 0.000], [0.000, 7.848, 0.000], [0.000, 0.000, 5.168]], "species": ["Dy", "Dy", "Dy", "Dy", "N", "N", "N", "N", "O", "O", "O", "O", "Tc", "Tc", "Tc", "Tc"], "frac_coords": [[0.017, 0.355, 0.350], [0.517, 0.645, 0.350], [0.483, 0.355, 0.850], [0.983, 0.645, 0.850], [0.406, 0.149, 0.215], [0.906, 0.851, 0.215], [0.094, 0.149, 0.715], [0.594, 0.851, 0.715], [0.751, 0.485, 0.097], [0.251, 0.515, 0.097], [0.749, 0.485, 0.597], [0.249, 0.515, 0.597], [0.125, 0.016, 0.041], [0.625, 0.984, 0.041], [0.375, 0.016, 0.541], [0.875, 0.984, 0.541]]}

=====

{"formula": "Li2Nb2Al2CoPt", "functional": "GGA-PBE", "state": "relaxed", "total_magnetization_mub_per_fu": 0.699, "crystal_system": "tetragonal", "lattice": [[4.287, 0.000, 0.000], [0.000, 4.287, 0.000], [0.000, 0.000, 6.128]], "species": ["Al", "Al", "Co", "Li", "Li", "Nb", "Nb", "Pt"], "frac_coords": [[0.000, 0.500, 0.242], [0.500, 0.000, 0.758], [0.000, 0.000, 0.000], [0.500, 0.500, 0.000], [0.000, 0.000, 0.500], [0.500, 0.000, 0.231], [0.000, 0.500, 0.769], [0.500, 0.500, 0.500]]}

=====

{"formula": "DyInPO", "functional": "GGA-PBE", "state": "relaxed", "e_above_lowest_polymorph_mev_per_atom": 89, "total_magnetization_mub_per_fu": 0.002, "crystal_system": "orthorhombic", "lattice": [[-1.852, -2.669, -2.403], [-2.819, -3.555, 6.119], [-4.640, 3.377, -0.175]], "species": ["Dy", "Dy", "In", "In", "O", "O", "P", "P"], "frac_coords": [[0.000, 0.684, 0.430], [0.000, 0.316, 0.930], [0.500, 0.118, 0.496], [0.500, 0.882, 0.996], [0.500, 0.801, 0.403], [0.500, 0.199, 0.903], [0.000, 0.322, 0.424], [0.000, 0.678, 0.924]]}

=====

{"formula": "Dy4IrI5", "functional": "GGA-PBE", "state": "relaxed", "total_magnetization_mub_per_fu": 0.019, "crystal_system": "monoclinic", "lattice": [[-1.993, 5.810, -7.925], [-2.178, 2.018, -9.577], [-8.068, -1.158, 3.562]], "species": ["Dy", "Dy", "Dy", "Dy", "I", "I", "I", "I", "I", "Ir"], "frac_coords": [[0.642, 0.642, 0.074], [0.001, 0.001, 0.201], [0.999, 0.999, 0.799], [0.358, 0.358, 0.926], [0.822, 0.822, 0.168], [0.168, 0.168, 0.342], [0.500, 0.500, 0.500], [0.832, 0.832, 0.658], [0.178, 0.178, 0.832], [0.500, 0.500, 0.000]]}

=====

{"formula": "ErAgAu", "functional": "GGA-PBE", "state": "relaxed", "e_above_lowest_polymorph_mev_per_atom": 1, "total_magnetization_mub_per_fu": 0.001, "crystal_system": "tetragonal", "e_form_ev_per_atom": -0.639, "lattice": [[-1.399, 3.293, -1.001], [-3.431, -1.248, 0.689], [0.674, 2.901, 8.603]], "species": ["Ag", "Ag", "Au", "Au", "Er", "Er"], "frac_coords": [[0.000, 0.500, 0.076], [0.500, 0.000, 0.924], [0.000, 0.500, 0.408], [0.500, 0.000, 0.592], [0.500, 0.000, 0.260], [0.000, 0.500, 0.740]]}

=====

{"formula": "Y3Zn2Ag", "functional": "GGA-PBE", "state": "relaxed", "total_magnetization_mub_per_fu": 0.149, "crystal_system": "tetragonal", "e_form_ev_per_atom": -0.362, "lattice": [[3.596, 0.000, 0.000], [0.000, 3.596, 0.000], [0.000, 0.000, 10.772]], "species": ["Ag", "Y", "Y", "Y", "Zn", "Zn"], "frac_coords": [[0.000, 0.000, 0.500], [0.500, 0.500, 0.000], [0.500, 0.500, 0.326], [0.500, 0.500, 0.674], [0.000, 0.000, 0.161], [0.000, 0.000, 0.839]]}

=====

{"formula": "GdHoGe2Ir", "functional": "GGA-PBE", "state": "relaxed", "e_above_lowest_polymorph_mev_per_atom": 2, "total_magnetization_mub_per_fu": 0.001, "crystal_system": "monoclinic", "lattice": [[5.287, -2.152, 0.000], [5.287, 2.152, 0.000], [-4.710, 0.000, 9.221]], "species": ["Gd", "Gd", "Ge", "Ge", "Ge", "Ge", "Ho", "Ho", "Ir", "Ir"], "frac_coords": [[0.008, 0.008, 0.329], [0.992, 0.992, 0.671], [0.479, 0.479, 0.115], [0.352, 0.352, 0.446], [0.648, 0.648, 0.554], [0.521, 0.521, 0.885], [0.189, 0.189, 0.119], [0.811, 0.811, 0.881], [0.728, 0.728, 0.334], [0.272, 0.272, 0.666]]}

=====

{"formula": "Hf3AlC", "functional": "GGA-PBE", "state": "relaxed", "total_magnetization_mub_per_fu": 0.001, "crystal_system": "orthorhombic", "lattice": [[-0.419, -3.294, -0.475], [2.079, 0.994, -8.736], [5.766, 0.762, 1.459]], "species": ["Al", "Al", "C", "C", "Hf", "Hf", "Hf", "Hf", "Hf", "Hf"], "frac_coords": [[0.750, 0.250, 0.001], [0.250, 0.750, 0.999], [0.500, 0.000, 0.500], [0.500, 0.500, 0.500], [0.872, 0.540, 0.243], [0.872, 0.960, 0.243], [0.459, 0.250, 0.419], [0.541, 0.750, 0.581], [0.128, 0.040, 0.757], [0.128, 0.460, 0.757]]}

=====

{"formula": "RePbO3", "functional": "GGA-PBE", "state": "relaxed", "total_magnetization_mub_per_fu": 0.009, "crystal_system": "trigonal", "lattice": [[2.818, -1.627, -4.576], [-2.818, -1.627, -4.576], [0.000, 3.254, -4.576]], "species": ["O", "O", "O", "O", "O", "O", "Pb", "Pb", "Re", "Re"], "frac_coords": [[0.750, 0.284, 0.216], [0.716, 0.784, 0.250], [0.216, 0.750, 0.284], [0.784, 0.250, 0.716], [0.284, 0.216, 0.750], [0.250, 0.716, 0.784], [0.250, 0.250, 0.250], [0.750, 0.750, 0.750], [0.000, 0.000, 0.000], [0.500, 0.500, 0.500]]}

=====

{"formula": "Na3In2Au", "functional": "GGA-PBE", "state": "relaxed", "crystal_system": "cubic", "lattice": [[0.548, -5.468, 7.843], [7.455, 5.427, -2.584], [-7.952, 4.101, 3.415]], "species": ["Au", "Au", "Au", "Au", "In", "In", "In", "In", "In", "In", "In", "In", "Na", "Na", "Na", "Na", "Na", "Na", "Na", "Na", "Na", "Na", "Na", "Na"], "frac_coords": [[0.000, 0.000, 0.000], [0.500, 0.000, 0.000], [0.500, 0.500, 0.000], [0.500, 0.500, 0.500], [0.709, 0.918, 0.128], [0.291, 0.082, 0.209], [0.291, 0.418, 0.209], [0.628, 0.418, 0.209], [0.709, 0.582, 0.791], [0.709, 0.918, 0.791], [0.372, 0.582, 0.791], [0.291, 0.082, 0.872], [0.923, 0.346, 0.173], [0.923, 0.750, 0.173], [0.327, 0.750, 0.173], [0.673, 0.250, 0.423], [0.673, 0.846, 0.423], [0.077, 0.250, 0.423], [0.327, 0.154, 0.577], [0.327, 0.750, 0.577], [0.923, 0.750, 0.577], [0.673, 0.250, 0.827], [0.077, 0.250, 0.827], [0.077, 0.654, 0.827]]}

=====

{"formula": "Lu2Ga8Co", "functional": "GGA-PBE", "state": "relaxed", "total_magnetization_mub_per_fu": 0.015, "crystal_system": "tetragonal", "lattice": [[-0.006, 1.659, -3.843], [0.461, -3.820, -1.650], [-10.907, -1.116, -0.464]], "species": ["Co", "Ga", "Ga", "Ga", "Ga", "Ga", "Ga", "Ga", "Ga", "Lu", "Lu"], "frac_coords": [[0.000, 0.000, 0.000], [0.500, 0.000, 0.118], [0.000, 0.500, 0.118], [0.500, 0.500, 0.304], [0.500, 0.000, 0.500], [0.000, 0.500, 0.500], [0.500, 0.500, 0.696], [0.500, 0.000, 0.882], [0.000, 0.500, 0.882], [0.000, 0.000, 0.306], [0.000, 0.000, 0.694]]}

=====

{"formula": "AlFeGe", "functional": "GGA-PBE", "state": "relaxed", "total_magnetization_mub_per_fu": 1.614, "crystal_system": "cubic", "lattice": [[-1.709, 0.412, 3.656], [-3.457, 2.086, 0.400], [-3.456, -1.946, 0.855]], "species": ["Al", "Fe", "Ge"], "frac_coords": [[0.250, 0.250, 0.250], [0.750, 0.750, 0.750], [0.000, 0.000, 0.000]]}

=====

In the order shown, the computed electronic total energy values come out to -4.94 -7.30 -5.70 -4.10 -1.96 -4.56 -3.73 -2.91 -3.33 -5.29 -6.25 -8.77 -5.99 -5.76 -4.68 -4.19 -4.49 -6.38 -9.17 -7.31 -2.35 -4.13 -5.34 eV/atom.